{"formula": "TbMgZn4", "functional": "PBE-GGA", "state": "relaxed", "lattice": [[4.413, 0.000, 0.000], [-2.207, 3.822, 0.000], [0.000, 0.000, 6.570]], "species": ["Tb", "Mg", "Zn", "Zn", "Zn", "Zn"], "fractional_positions": [[0.000, 0.000, 0.000], [0.000, 0.000, 0.500], [0.333, 0.667, 0.265], [0.333, 0.667, 0.735], [0.667, 0.333, 0.265], [0.667, 0.333, 0.735]], "energy_ev_per_atom": -2.172, "magmom_total_mub_per_fu": 0.01, "sg": "P6/mmm", "mass_density_g_cm3": 6.7}


{"formula": "TbMgZr", "functional": "PBE-GGA", "state": "relaxed", "lattice": [[7.040, 0.000, 0.000], [0.000, 7.040, 0.000], [0.000, 0.000, 7.040]], "species": ["Tb", "Tb", "Tb", "Tb", "Mg", "Mg", "Mg", "Mg", "Zr", "Zr", "Zr", "Zr"], "fractional_positions": [[0.000, 0.000, 0.000], [0.000, 0.500, 0.500], [0.500, 0.000, 0.500], [0.500, 0.500, 0.000], [0.250, 0.250, 0.250], [0.250, 0.750, 0.750], [0.750, 0.250, 0.750], [0.750, 0.750, 0.250], [0.000, 0.000, 0.500], [0.000, 0.500, 0.000], [0.500, 0.000, 0.000], [0.500, 0.500, 0.500]], "energy_ev_per_atom": -4.250, "magmom_total_mub_per_fu": 0.11, "sg": "F-43m", "mass_density_g_cm3": 5.2, "de_polymorph_mev_per_atom": 0}